[1]
An optimized crystal structure of Mn5Be2SiW2. Source: the Alexandria database, functional PBE-GGA.

Cell and atoms, written as POSCAR:
```
Mn5Be2SiW2
1.0
3.014 0.000 0.000
0.000 8.663 0.000
0.000 0.000 8.663
Mn Be Si W
10 4 2 4
Direct
0.500 0.793 0.934
0.500 0.934 0.207
0.500 0.434 0.293
0.500 0.207 0.066
0.500 0.707 0.434
0.500 0.500 0.000
0.500 0.566 0.707
0.500 0.066 0.793
0.500 0.293 0.566
0.500 0.000 0.500
0.000 0.625 0.875
0.000 0.125 0.625
0.000 0.875 0.375
0.000 0.375 0.125
0.000 0.500 0.500
0.000 0.000 0.000
0.000 0.327 0.827
0.000 0.173 0.327
0.000 0.827 0.673
0.000 0.673 0.173
```

Values from the calculation:
The density of states at the Fermi level is 11.1 states/eV per cell. For the energy relative to the elements, uncorrected, the calculation gives -105 meV per atom. Its space group is No. 127.

***

[2]
An optimized crystal structure of Tb2SiSbRh6. Source: the Alexandria database, functional PBE-GGA.

Cell and atoms, written as POSCAR:
```
Tb2SiSbRh6
1.0
-6.103 -0.247 0.562
0.107 -7.012 -2.004
-2.518 -5.880 3.440
Rh Si Tb Sb
6 1 2 1
Direct
0.257 0.184 0.486
0.743 0.816 0.514
0.743 0.258 0.069
0.187 0.259 0.069
0.257 0.742 0.931
0.813 0.741 0.931
0.500 0.500 0.000
0.762 0.237 0.476
0.238 0.763 0.524
0.000 0.000 0.000
```

Values from the calculation:
The density of states at the Fermi level is 7.2 states/eV per cell. For the energy relative to the elements, uncorrected, the calculation gives -532 meV per atom. Its space group is No. 2.

***

[3]
An optimized crystal structure of Sr2GeBiC. Source: the Alexandria database, functional PBE-GGA.

Cell and atoms, written as POSCAR:
```
Sr2GeBiC
1.0
-0.019 4.279 4.503
-3.546 1.007 -0.971
-2.280 -4.194 3.975
Sr C Ge Bi
2 1 1 1
Direct
0.000 0.000 0.500
0.500 0.000 0.000
0.000 0.500 0.000
0.000 0.000 0.000
0.500 0.500 0.500
```

Values from the calculation:
The density of states at the Fermi level is 1.4 states/eV per cell. The value obtained for the energy relative to the elements is 218 meV/atom. Its space group is No. 123.

***

[4]
An optimized crystal structure of Ac4Te5Se2. Source: the Alexandria database, functional PBE-GGA.

Cell and atoms, written as POSCAR:
```
Ac4Te5Se2
1.0
-4.429 -0.584 -1.412
-0.526 -7.599 4.791
-0.833 9.345 6.521
Te Se Ac
5 2 4
Direct
0.836 0.092 0.671
0.500 0.000 0.000
0.835 0.578 0.671
0.164 0.908 0.329
0.165 0.422 0.329
0.556 0.494 0.111
0.444 0.506 0.889
0.283 0.280 0.565
0.717 0.720 0.435
0.996 0.254 0.993
0.004 0.746 0.007
```

Values from the calculation:
For the energy relative to the elements, uncorrected, the calculation gives -1426 meV per atom. Its space group is No. 12.

***

[5]
An optimized crystal structure of Nd3MgRh3. Source: the Alexandria database, functional PBE-GGA.

Cell and atoms, written as POSCAR:
```
Nd3MgRh3
1.0
6.799 1.861 0.895
-1.363 6.916 0.895
0.041 0.066 6.626
Mg Rh Nd
2 6 6
Direct
0.213 0.213 0.052
0.787 0.787 0.948
0.055 0.055 0.790
0.945 0.945 0.210
0.001 0.496 0.767
0.999 0.504 0.233
0.496 0.001 0.767
0.504 0.999 0.233
0.189 0.811 0.500
0.302 0.302 0.509
0.698 0.698 0.491
0.811 0.189 0.500
0.717 0.283 0.000
0.283 0.717 0.000
```

Values from the calculation:
The density of states at the Fermi level is 9.0 states/eV per cell. The value obtained for the energy relative to the elements is -507 meV/atom. Its space group is No. 12.

***

[6]
An optimized crystal structure of Sb4S3O2. Source: the Alexandria database, functional PBE-GGA.

Cell and atoms, written as POSCAR:
```
Sb4S3O2
1.0
-4.233 3.741 -1.233
-1.784 1.623 6.804
5.317 10.007 1.827
S Sb O
6 8 4
Direct
0.728 0.437 0.592
0.044 0.277 0.100
0.956 0.723 0.900
0.409 0.060 0.842
0.272 0.563 0.408
0.591 0.940 0.158
0.287 0.176 0.534
0.838 0.365 0.383
0.686 0.245 0.013
0.162 0.635 0.617
0.314 0.755 0.987
0.146 0.940 0.197
0.713 0.824 0.466
0.854 0.060 0.803
0.896 0.841 0.594
0.104 0.159 0.406
0.617 0.139 0.432
0.383 0.861 0.568
```

Values from the calculation:
For the energy relative to the elements, uncorrected, the calculation gives -554 meV per atom. Its space group is No. 2.

***

[7]
An optimized crystal structure of NbVGa. Source: the Alexandria database, functional PBE-GGA.

Cell and atoms, written as POSCAR:
```
NbVGa
1.0
-0.954 -1.261 -2.193
4.014 0.412 -1.983
-0.916 -3.632 2.487
Ga V Nb
1 1 1
Direct
0.030 0.000 0.000
0.331 0.667 0.333
0.639 0.333 0.667
```

Values from the calculation:
The density of states at the Fermi level is 2.7 states/eV per cell. The value obtained for the energy relative to the elements is -65 meV/atom. Its space group is No. 156.

***

[8]
An optimized crystal structure of CrBPAuI. Source: the Alexandria database, functional PBE-GGA.

Cell and atoms, written as POSCAR:
```
CrBPAuI
1.0
3.297 0.130 -0.017
1.438 5.466 0.504
-0.076 3.038 7.638
I Au Cr B P
1 1 1 1 1
Direct
0.900 0.036 0.244
0.213 0.410 0.740
0.495 0.846 0.528
0.014 0.808 0.746
0.449 0.937 0.799
```

Values from the calculation:
The density of states at the Fermi level is 2.1 states/eV per cell. For the energy relative to the elements, uncorrected, the calculation gives 131 meV per atom. Its space group is No. 8.

***

[9]
An optimized crystal structure of TiNbPd4. Source: the Alexandria database, functional PBE-GGA.

Cell and atoms, written as POSCAR:
```
TiNbPd4
1.0
5.339 0.026 0.000
-0.399 5.324 0.000
0.000 0.000 7.785
Ti Pd Nb
2 8 2
Direct
0.000 0.000 0.250
0.000 0.000 0.750
0.500 0.000 0.250
0.759 0.759 0.500
0.241 0.241 0.000
0.000 0.500 0.250
0.759 0.759 0.000
0.241 0.241 0.500
0.500 0.000 0.750
0.000 0.500 0.750
0.500 0.500 0.250
0.500 0.500 0.750
```

Values from the calculation:
The density of states at the Fermi level is 13.4 states/eV per cell. The value obtained for the energy relative to the elements is 52 meV/atom. Its space group is No. 65.

***

[10]
An optimized crystal structure of CdPb2Br6. Source: the Alexandria database, functional PBE-GGA.

Cell and atoms, written as POSCAR:
```
CdPb2Br6
1.0
4.317 0.000 0.000
-2.158 7.170 -2.479
0.000 0.564 10.765
Br Pb Cd
6 2 1
Direct
0.631 0.262 0.537
0.986 0.971 0.236
0.312 0.624 0.876
0.014 0.029 0.764
0.369 0.738 0.463
0.688 0.376 0.124
0.336 0.671 0.173
0.664 0.329 0.827
0.000 0.000 0.500
```

Values from the calculation:
The density of states at the Fermi level is 0.0 states/eV per cell. For the energy relative to the elements, uncorrected, the calculation gives -885 meV per atom. Its space group is No. 12.

***

[11]
An optimized crystal structure of InHgTeI. Source: the Alexandria database, functional PBE-GGA.

Cell and atoms, written as POSCAR:
```
InHgTeI
1.0
4.418 0.014 0.015
2.197 3.833 0.015
-0.031 -0.018 9.385
In I Te Hg
1 1 1 1
Direct
0.239 0.239 0.192
0.906 0.906 0.661
0.572 0.572 0.049
0.240 0.240 0.482
```

Values from the calculation:
For the energy relative to the elements, uncorrected, the calculation gives -310 meV per atom. Its space group is No. 156.

***

[12]
An optimized crystal structure of LiIn2AuC. Source: the Alexandria database, functional PBE-GGA.

Cell and atoms, written as POSCAR:
```
LiIn2AuC
1.0
-4.176 0.284 -2.699
-2.265 -0.931 3.406
-0.369 4.848 1.081
In Li Au C
2 1 1 1
Direct
0.500 0.000 0.000
0.000 0.000 0.500
0.500 0.500 0.500
0.000 0.500 0.000
0.000 0.000 0.000
```

Values from the calculation:
The density of states at the Fermi level is 1.6 states/eV per cell. The value obtained for the energy relative to the elements is 611 meV/atom. Its space group is No. 123.

***

[13]
An optimized crystal structure of ZnIn2Ag. Source: the Alexandria database, functional PBE-GGA.

Cell and atoms, written as POSCAR:
```
ZnIn2Ag
1.0
-4.190 -1.509 -2.243
-0.047 -4.264 -2.586
-2.483 -3.952 1.755
In Ag Zn
2 1 1
Direct
0.250 0.250 0.250
0.000 0.000 0.000
0.500 0.500 0.500
0.750 0.750 0.750
```

Values from the calculation:
The density of states at the Fermi level is 0.9 states/eV per cell. The value obtained for the energy relative to the elements is 125 meV/atom. Its space group is No. 216.

***

[14]
An optimized crystal structure of Ce2AlNi5Os2. Source: the Alexandria database, functional PBE-GGA.

Cell and atoms, written as POSCAR:
```
Ce2AlNi5Os2
1.0
-0.841 2.903 2.342
-2.458 -5.903 6.433
8.500 -0.090 3.165
Ce Ni Al Os
4 10 2 4
Direct
0.000 0.327 0.827
0.000 0.827 0.673
0.000 0.673 0.173
0.000 0.173 0.327
0.500 0.000 0.500
0.500 0.309 0.560
0.500 0.940 0.191
0.500 0.060 0.809
0.500 0.691 0.440
0.500 0.440 0.309
0.500 0.500 0.000
0.500 0.191 0.060
0.500 0.560 0.691
0.500 0.809 0.940
0.000 0.000 0.000
0.000 0.500 0.500
0.000 0.869 0.369
0.000 0.631 0.869
0.000 0.369 0.131
0.000 0.131 0.631
```

Values from the calculation:
The density of states at the Fermi level is 14.3 states/eV per cell. The value obtained for the energy relative to the elements is -139 meV/atom. Its space group is No. 127.

***

[15]
An optimized crystal structure of Tb2Dy3Tc2. Source: the Alexandria database, functional PBE-GGA.

Cell and atoms, written as POSCAR:
```
Tb2Dy3Tc2
1.0
3.760 -0.001 -0.842
-2.337 5.697 -1.612
-0.070 0.061 8.484
Tc Tb Dy
2 2 3
Direct
0.962 0.140 0.786
0.038 0.860 0.214
0.347 0.510 0.185
0.653 0.490 0.815
0.193 0.818 0.568
0.500 0.000 0.000
0.807 0.182 0.432
```

Values from the calculation:
The density of states at the Fermi level is 5.1 states/eV per cell. The value obtained for the energy relative to the elements is -61 meV/atom. Its space group is No. 12.

***

[16]
An optimized crystal structure of Pm4Nd2H2Pb3. Source: the Alexandria database, functional PBE-GGA.

Cell and atoms, written as POSCAR:
```
Pm4Nd2H2Pb3
1.0
-1.206 3.669 2.882
-4.612 -0.488 -1.308
1.001 -9.949 9.058
Nd Pm H Pb
2 4 2 3
Direct
0.301 0.301 0.602
0.699 0.699 0.398
0.917 0.417 0.834
0.417 0.917 0.834
0.583 0.083 0.166
0.083 0.583 0.166
0.397 0.397 0.794
0.603 0.603 0.206
0.000 0.000 0.000
0.825 0.825 0.650
0.175 0.175 0.350
```

Values from the calculation:
The density of states at the Fermi level is 11.0 states/eV per cell. Its space group is No. 139.

***

[17]
An optimized crystal structure of BeNiW. Source: the Alexandria database, functional PBE-GGA.

Cell and atoms, written as POSCAR:
```
BeNiW
1.0
-0.724 -0.462 -5.012
4.862 -1.537 -2.061
-0.358 -2.458 0.992
Ni Be W
2 2 2
Direct
0.702 0.483 0.180
0.474 0.205 0.567
0.734 0.899 0.196
0.442 0.788 0.550
0.122 0.587 0.890
0.054 0.101 0.857
```

Values from the calculation:
The density of states at the Fermi level is 3.6 states/eV per cell. The value obtained for the energy relative to the elements is -51 meV/atom. Its space group is No. 12.

***

[18]
An optimized crystal structure of BaLiAc2. Source: the Alexandria database, functional PBE-GGA.

Cell and atoms, written as POSCAR:
```
BaLiAc2
1.0
3.993 0.000 0.000
1.997 3.458 0.000
1.997 1.153 12.509
Ac Li Ba
2 1 1
Direct
0.073 0.073 0.782
0.261 0.261 0.218
0.667 0.667 0.999
0.500 0.500 0.501
```

Values from the calculation:
The density of states at the Fermi level is 4.3 states/eV per cell. The value obtained for the energy relative to the elements is 163 meV/atom. Its space group is No. 160.

***

[19]
An optimized crystal structure of Gd2TmC. Source: the Alexandria database, functional PBE-GGA.

Cell and atoms, written as POSCAR:
```
Gd2TmC
1.0
-1.214 0.254 -3.332
0.705 -2.574 -2.350
-8.227 -5.340 0.692
Tm Gd C
1 2 1
Direct
0.000 0.000 0.000
0.119 0.119 0.642
0.881 0.881 0.358
0.500 0.500 0.500
```

Values from the calculation:
The density of states at the Fermi level is 3.5 states/eV per cell. The value obtained for the energy relative to the elements is -41 meV/atom. Its space group is No. 166.

***

[20]
An optimized crystal structure of RbNa2LiOs. Source: the Alexandria database, functional PBE-GGA.

Cell and atoms, written as POSCAR:
```
RbNa2LiOs
1.0
-4.074 -4.130 -0.291
4.434 -4.275 -1.396
0.716 -1.105 5.657
Os Rb Na Li
1 1 2 1
Direct
0.000 0.000 0.000
0.000 0.500 0.000
0.000 0.000 0.500
0.500 0.000 0.000
0.500 0.500 0.500
```

Values from the calculation:
The density of states at the Fermi level is 0.9 states/eV per cell. The value obtained for the energy relative to the elements is 1211 meV/atom. Its space group is No. 123.

***

Summary of VASP energy in Ry per atom
-0.630; -0.502; -0.294; -0.366; -0.436; -0.357; -0.549; -0.380; -0.471; -0.215; -0.165; -0.247; -0.167; -0.502; -0.464; -0.343; -0.554; -0.210; -0.772; -0.157
(order as listed above)